Entry 1:
The following is a DFT calculation (PBE) of HfBeOs after structural relaxation.

a b c (Å): 5.978 5.978 5.978
angles (deg): 90.00 90.00 90.00
Space group F-43m (No. 216)
One atom of each set of equivalent atoms:
Hf  0.000  0.000  0.000 (multiplicity 4)
Be  0.000  0.000  0.500 (multiplicity 4)
Os  0.250  0.250  0.750 (multiplicity 4)

Summary:
ΔE to the lowest computed polymorph in meV per atom: 0
Crystal system: cubic
Magnetization in μB/f.u.: 0.0

Entry 2:
The following is a DFT calculation (PBE) of HfBeOs after structural relaxation.

a b c (Å): 6.051 6.051 6.051
angles (deg): 90.00 90.00 90.00
Space group F-43m (No. 216)
One atom of each set of equivalent atoms:
Hf  0.000  0.000  0.000 (multiplicity 4)
Be  0.250  0.250  0.750 (multiplicity 4)
Os  0.250  0.250  0.250 (multiplicity 4)

Summary:
ΔE to the lowest computed polymorph in meV per atom: 526
Crystal system: cubic
Magnetization in μB/f.u.: 0.0

Entry 3:
The following is a DFT calculation (PBE) of HfBe2Pb after structural relaxation.

a b c (Å): 6.600 6.600 6.600
angles (deg): 90.00 90.00 90.00
Space group F-43m (No. 216)
One atom of each set of equivalent atoms:
Hf  0.000  0.000  0.000 (multiplicity 4)
Be  0.000  0.000  0.500 (multiplicity 4)
Be  0.250  0.250  0.250 (multiplicity 4)
Pb  0.250  0.250  0.750 (multiplicity 4)

Summary:
Final energy in eV/atom: -4.4822
Crystal system: cubic
Magnetization in μB/f.u.: 0.0

Entry 4:
The following is a DFT calculation (PBE) of Hf2BePd after structural relaxation.

a b c (Å): 6.478 6.478 6.478
angles (deg): 90.00 90.00 90.00
Space group F-43m (No. 216)
One atom of each set of equivalent atoms:
Hf  0.000  0.000  0.000 (multiplicity 4)
Hf  0.250  0.250  0.250 (multiplicity 4)
Be  0.000  0.000  0.500 (multiplicity 4)
Pd  0.250  0.250  0.750 (multiplicity 4)

Summary:
Final energy in eV/atom: -7.1008
Crystal system: cubic
Magnetization in μB/f.u.: 2.0

Entry 5:
The following is a DFT calculation (PBE) of HfBePd after structural relaxation.

a b c (Å): 3.115 3.115 9.305
angles (deg): 90.00 90.00 90.00
Space group P4/nmm (No. 129, origin choice 2)
One atom of each set of equivalent atoms:
Hf  0.250  0.250  0.113 (multiplicity 2)
Be  0.250  0.250  0.435 (multiplicity 2)
Pd  0.250  0.250  0.686 (multiplicity 2)

Summary:
ΔE to the lowest computed polymorph in meV per atom: 0
Crystal system: tetragonal
Magnetization in μB/f.u.: 0.0

Entry 6:
The following is a DFT calculation (PBE) of Hf3BePd2 after structural relaxation.

a b c (Å): 3.167 3.167 10.321
angles (deg): 90.00 90.00 90.00
Space group P4mm (No. 99)
One atom of each set of equivalent atoms:
Hf  0.000  0.000  0.000 (multiplicity 1)
Hf  0.000  0.000  0.355 (multiplicity 1)
Hf  0.500  0.500  0.557 (multiplicity 1)
Be  0.500  0.500  0.839 (multiplicity 1)
Pd  0.000  0.000  0.732 (multiplicity 1)
Pd  0.500  0.500  0.182 (multiplicity 1)

Summary:
Final energy in eV/atom: -7.7758
Crystal system: tetragonal
Magnetization in μB/f.u.: 0.0

Entry 7:
The following is a DFT calculation (PBE) of HfBePd after structural relaxation.

a b c (Å): 3.055 3.055 9.568
angles (deg): 90.00 90.00 90.00
Space group I4mm (No. 107)
One atom of each set of equivalent atoms:
Hf  0.000  0.000  0.000 (multiplicity 2)
Be  0.000  0.000  0.685 (multiplicity 2)
Pd  0.000  0.000  0.299 (multiplicity 2)

Summary:
ΔE to the lowest computed polymorph in meV per atom: 10
Crystal system: tetragonal
Magnetization in μB/f.u.: 0.0

Entry 8:
The following is a DFT calculation (PBE) of HfBePd after structural relaxation.

a b c (Å): 5.779 5.779 5.779
angles (deg): 90.00 90.00 90.00
Space group F-43m (No. 216)
One atom of each set of equivalent atoms:
Hf  0.000  0.000  0.000 (multiplicity 4)
Be  0.250  0.250  0.250 (multiplicity 4)
Pd  0.000  0.000  0.500 (multiplicity 4)

Summary:
ΔE to the lowest computed polymorph in meV per atom: 295
Crystal system: cubic
Magnetization in μB/f.u.: 0.0

What did the fifth record say?
The following is a DFT calculation (PBE) of HfBePd after structural relaxation.

a b c (Å): 3.115 3.115 9.305
angles (deg): 90.00 90.00 90.00
Space group P4/nmm (No. 129, origin choice 2)
One atom of each set of equivalent atoms:
Hf  0.250  0.250  0.113 (multiplicity 2)
Be  0.250  0.250  0.435 (multiplicity 2)
Pd  0.250  0.250  0.686 (multiplicity 2)

Summary:
ΔE to the lowest computed polymorph in meV per atom: 0
Crystal system: tetragonal
Magnetization in μB/f.u.: 0.0